P:
The following is a DFT calculation (GGA-PBE) of PRuIO2 after structural relaxation.

Results
The value obtained for the total magnetic moment is 0.000 Bohr magnetons per cell. The value obtained for the density of states at the Fermi level is 3.08 states/eV per cell.

abc: 3.759 3.759 8.021
angles: 90.00 90.00 90.00
Fractional positions:
I 0.000 0.000 0.500
O 0.000 0.500 0.000
O 0.500 0.000 0.000
P 0.500 0.500 0.500
Ru 0.000 0.000 0.000

=====

Q:
The following is a DFT calculation (GGA-PBE) of PRuIO2 after structural relaxation.

Results
The value obtained for the total magnetic moment is 1.466 Bohr magnetons per cell. The value obtained for the density of states at the Fermi level is 2.82 states/eV per cell.

abc: 3.620 3.620 6.201
angles: 90.00 90.00 90.00
Last column: magnetic moment on the atom in μB.
Fractional positions:
O 0.000 0.500 0.000  0.04
O 0.500 0.000 0.000  0.04
I 0.000 0.000 0.500  0.02
Ru 0.500 0.500 0.500  1.16
P 0.000 0.000 0.000  0.01

=====

Most stable of them? P.

=====

P:
The following is a DFT calculation (GGA-PBE) of P2RuIO after structural relaxation.

Results
The value obtained for the total magnetic moment is 1.585 Bohr magnetons per cell. The value obtained for the density of states at the Fermi level is 7.38 states/eV per cell.

abc: 5.148 4.921 5.148
angles: 90.00 90.00 90.00
Last column: magnetic moment on the atom in μB.
Fractional positions:
P 0.500 0.000 0.000  0.04
P 0.000 0.000 0.500  0.01
Ru 0.000 0.500 0.000  1.25
I 0.000 0.000 0.000  -0.02
O 0.500 0.500 0.500  0.12

=====

Q:
The following is a DFT calculation (GGA-PBE) of P2RuIO after structural relaxation.

Results
The value obtained for the total magnetic moment is 0.000 Bohr magnetons per cell. The value obtained for the density of states at the Fermi level is 5.21 states/eV per cell.

abc: 4.835 4.835 3.799
angles: 90.00 90.00 90.00
Fractional positions:
P 0.000 0.500 0.000
P 0.500 0.000 0.000
O 0.000 0.000 0.500
I 0.500 0.500 0.500
Ru 0.000 0.000 0.000

=====

R:
The following is a DFT calculation (GGA-PBE) of P2RuIO after structural relaxation.

Results
The value obtained for the total magnetic moment is 1.648 Bohr magnetons per cell. The value obtained for the density of states at the Fermi level is 6.01 states/eV per cell.

abc: 5.076 5.076 3.801
angles: 90.00 90.00 90.00
Last column: magnetic moment on the atom in μB.
Fractional positions:
I 0.000 0.000 0.000  0.00
P 0.000 0.500 0.000  -0.07
P 0.500 0.000 0.000  -0.07
Ru 0.500 0.500 0.500  1.78
O 0.000 0.000 0.500  0.00

=====

Most stable of them? Q.

=====

P:
The following is a DFT calculation (GGA-PBE) of P2SIO after structural relaxation.

Results
The value obtained for the total magnetic moment is 0.000 Bohr magnetons per cell. The value obtained for the density of states at the Fermi level is 3.09 states/eV per cell.

abc: 4.844 4.844 3.658
angles: 90.00 90.00 90.00
Fractional positions:
P 0.000 0.500 0.000
P 0.500 0.000 0.000
S 0.000 0.000 0.000
I 0.500 0.500 0.500
O 0.000 0.000 0.500

=====

Q:
The following is a DFT calculation (GGA-PBE) of P2SIO after structural relaxation.

Results
The value obtained for the total magnetic moment is 1.498 Bohr magnetons per cell. The value obtained for the density of states at the Fermi level is 9.74 states/eV per cell.

abc: 5.260 5.260 4.969
angles: 90.00 90.00 90.00
Last column: magnetic moment on the atom in μB.
Fractional positions:
O 0.500 0.500 0.500  0.04
P 0.500 0.000 0.000  0.32
P 0.000 0.500 0.000  0.32
S 0.000 0.000 0.500  0.04
I 0.000 0.000 0.000  -0.02

=====

Most stable of them? P.

=====

P:
The following is a DFT calculation (GGA-PBE) of Sb2PIO after structural relaxation.

Results
The value obtained for the total magnetic moment is 0.000 Bohr magnetons per cell. The value obtained for the density of states at the Fermi level is 3.45 states/eV per cell.

abc: 4.787 4.787 4.965
angles: 90.00 90.00 90.00
Fractional positions:
I 0.000 0.000 0.500
P 0.500 0.500 0.500
Sb 0.000 0.500 0.000
Sb 0.500 0.000 0.000
O 0.000 0.000 0.000

=====

Q:
The following is a DFT calculation (GGA-PBE) of Sb2PIO after structural relaxation.

Results
The value obtained for the total magnetic moment is 0.000 Bohr magnetons per cell. The value obtained for the density of states at the Fermi level is 3.57 states/eV per cell.

abc: 5.412 3.833 5.412
angles: 90.00 90.00 90.00
Fractional positions:
P 0.000 0.500 0.000
Sb 0.500 0.000 0.000
Sb 0.000 0.000 0.500
O 0.000 0.000 0.000
I 0.500 0.500 0.500

=====

Most stable of them? Q.

=====

P:
The following is a DFT calculation (GGA-PBE) of SiP2IO after structural relaxation.

Results
The value obtained for the total magnetic moment is 0.000 Bohr magnetons per cell. The value obtained for the density of states at the Fermi level is 2.49 states/eV per cell.

abc: 5.147 5.147 3.914
angles: 90.00 90.00 90.00
Fractional positions:
P 0.000 0.500 0.000
P 0.500 0.000 0.000
I 0.000 0.000 0.000
Si 0.500 0.500 0.500
O 0.000 0.000 0.500

=====

Q:
The following is a DFT calculation (GGA-PBE) of SiP2IO after structural relaxation.

Results
The value obtained for the total magnetic moment is 0.000 Bohr magnetons per cell. The value obtained for the density of states at the Fermi level is 3.55 states/eV per cell.

abc: 4.905 4.905 3.443
angles: 90.00 90.00 90.00
Fractional positions:
O 0.000 0.000 0.500
P 0.000 0.500 0.000
P 0.500 0.000 0.000
I 0.500 0.500 0.500
Si 0.000 0.000 0.000

=====

Most stable of them? Q.

=====

P:
The following is a DFT calculation (GGA-PBE) of SiPIO2 after structural relaxation.

Results
The value obtained for the total magnetic moment is 0.048 Bohr magnetons per cell. The value obtained for the density of states at the Fermi level is 2.00 states/eV per cell.

abc: 3.963 3.963 5.674
angles: 90.00 90.00 90.00
Fractional positions:
I 0.000 0.000 0.000
O 0.500 0.000 0.000
O 0.000 0.500 0.000
Si 0.500 0.500 0.500
P 0.000 0.000 0.500

=====

Q:
The following is a DFT calculation (GGA-PBE) of SiPIO2 after structural relaxation.

Results
The value obtained for the total magnetic moment is 0.160 Bohr magnetons per cell. The value obtained for the density of states at the Fermi level is 2.66 states/eV per cell.

abc: 3.615 3.615 5.466
angles: 90.00 90.00 90.00
Last column: magnetic moment on the atom in μB.
Fractional positions:
O 0.000 0.500 0.000  0.07
O 0.500 0.000 0.000  0.07
I 0.500 0.500 0.500  0.00
Si 0.000 0.000 0.000  0.00
P 0.000 0.000 0.500  0.00

=====

R:
The following is a DFT calculation (GGA-PBE) of SiPIO2 after structural relaxation.

Results
The value obtained for the total magnetic moment is 0.000 Bohr magnetons per cell. The value obtained for the density of states at the Fermi level is 2.18 states/eV per cell.

abc: 3.846 3.846 5.335
angles: 90.00 90.00 90.00
Fractional positions:
P 0.000 0.000 0.000
O 0.500 0.000 0.000
O 0.000 0.500 0.000
I 0.000 0.000 0.500
Si 0.500 0.500 0.500

=====

Most stable of them? Q.